No. 1
First-principles (PBE) data for AlCO2 after structural relaxation, as listed in Alexandria.

## Properties
Space group = No. 166
Uncorrected formation energy = -502 meV per atom

Cell: 5.8219 5.8219 5.8219 Å, 27.49 27.49 27.49°
Closest atoms and distances in Å follow each position.
Element x y z (fractional)
C: 0.0000 0.0000 0.0000  2 O 1.81
Al: 0.5000 0.5000 0.5000  6 O 1.88
O: 0.8919 0.8919 0.8919  1 C 1.81, 3 Al 1.88
O: 0.1081 0.1081 0.1081  1 C 1.81, 3 Al 1.88



No. 2
First-principles (PBE) data for LaBeTc after structural relaxation, as listed in Alexandria.

## Properties
Energy of formation = 0.548 eV/atom
Space group = No. 216

Cell: 4.3739 4.3739 4.3739 Å, 60.00 60.00 60.00°
Closest atoms and distances in Å follow each position.
Element x y z (fractional)
Be: 0.7500 0.7500 0.7500  4 La 2.68, 4 Tc 2.68
Tc: 0.5000 0.5000 0.5000  4 Be 2.68
La: 0.0000 0.0000 0.0000  4 Be 2.68



What is the formula in the second record?
LaBeTc